No. 1
# CrHO2 (PBEsol, relaxed)
data_CrHO2
_chemical_formula_sum 'Cr2 H2 O4'
_cell_length_a 2.962
_cell_length_b 4.268
_cell_length_c 4.830
_cell_angle_alpha 90.00
_cell_angle_beta 90.00
_cell_angle_gamma 90.00
_symmetry_space_group_name_H-M 'P m n 21'
_symmetry_Int_Tables_number 31
loop_
_symmetry_equiv_pos_as_xyz
'x,y,z'
'-x+1/2,-y,z+1/2'
'-x,y,z'
'x+1/2,-y,z+1/2'
loop_
_atom_site_label
_atom_site_type_symbol
_atom_site_fract_x
_atom_site_fract_y
_atom_site_fract_z
Cr1 Cr 0.000 0.241 0.000
H1 H 0.000 0.276 0.490
O1 O 0.000 0.015 0.644
O2 O 0.000 0.486 0.356
# Calculated total energy ... -7.63 eV per atom

---

No. 2
# CrHO2 (PBEsol, relaxed)
data_CrHO2
_chemical_formula_sum 'Cr3 H3 O6'
_cell_length_a 2.9845
_cell_length_b 2.9845
_cell_length_c 13.1343
_cell_angle_alpha 90.00
_cell_angle_beta 90.00
_cell_angle_gamma 120.00
_symmetry_space_group_name_H-M 'R -3 m'
_symmetry_Int_Tables_number 166
_symmetry_space_group_name_Hall '-R 3 2"'
loop_
_atom_site_label
_atom_site_type_symbol
_atom_site_fract_x
_atom_site_fract_y
_atom_site_fract_z
Cr1 Cr 0.0000 0.0000 0.0000
H1 H 0.0000 0.0000 0.5000
O1 O 0.0000 0.0000 0.4082
# Calculated total energy ... -7.63 eV per atom

---

No. 3
# CrHO2 (PBEsol, relaxed)
data_CrHO2
_chemical_formula_sum 'Cr4 H4 O8'
_cell_length_a 9.719
_cell_length_b 2.970
_cell_length_c 4.396
_cell_angle_alpha 90.00
_cell_angle_beta 90.00
_cell_angle_gamma 90.00
_symmetry_space_group_name_H-M 'P n m a'
_symmetry_Int_Tables_number 62
loop_
_symmetry_equiv_pos_as_xyz
'x,y,z'
'-x,-y,-z'
'-x+1/2,-y,z+1/2'
'x+1/2,y,-z+1/2'
'x+1/2,-y+1/2,-z+1/2'
'-x+1/2,y+1/2,z+1/2'
'-x,y+1/2,-z'
'x,-y+1/2,z'
loop_
_atom_site_label
_atom_site_type_symbol
_atom_site_fract_x
_atom_site_fract_y
_atom_site_fract_z
Cr1 Cr 0.138 0.250 0.049
H1 H 0.102 0.750 0.574
O1 O 0.058 0.750 0.796
O2 O 0.191 0.750 0.315
# Calculated total energy ... -7.63 eV per atom

---

No. 4
# Cr2P4H3O16 (PBEsol, relaxed)
data_Cr2P4H3O16
_chemical_formula_sum 'Cr2 P4 H3 O16'
_cell_length_a 4.758
_cell_length_b 6.973
_cell_length_c 7.916
_cell_angle_alpha 89.69
_cell_angle_beta 89.47
_cell_angle_gamma 77.57
_symmetry_space_group_name_H-M 'P 1'
_symmetry_Int_Tables_number 1
loop_
_symmetry_equiv_pos_as_xyz
'x,y,z'
loop_
_atom_site_label
_atom_site_type_symbol
_atom_site_fract_x
_atom_site_fract_y
_atom_site_fract_z
Cr1 Cr 0.000 0.000 0.000
Cr2 Cr 0.500 0.498 0.498
P1 P 0.077 0.254 0.662
P2 P 0.389 0.266 0.150
P3 P 0.608 0.735 0.846
P4 P 0.924 0.742 0.336
H1 H 0.340 0.139 0.450
H2 H 0.661 0.856 0.548
H3 H 0.981 0.507 0.994
O1 O 0.103 0.175 0.842
O2 O 0.206 0.438 0.640
O3 O 0.227 0.095 0.159
O4 O 0.228 0.452 0.069
O5 O 0.235 0.086 0.546
O6 O 0.246 0.686 0.385
O7 O 0.313 0.811 0.934
O8 O 0.450 0.302 0.341
O9 O 0.551 0.695 0.657
O10 O 0.687 0.187 0.065
O11 O 0.755 0.310 0.613
O12 O 0.766 0.910 0.453
O13 O 0.768 0.546 0.929
O14 O 0.775 0.903 0.839
O15 O 0.795 0.558 0.358
O16 O 0.898 0.822 0.156
# Calculated total energy ... -7.32 eV per atom

---

No. 5
# CrP2H15O14 (PBEsol, relaxed)
data_CrP2H15O14
_chemical_formula_sum 'Cr2 P4 H30 O28'
_cell_length_a 6.910
_cell_length_b 8.673
_cell_length_c 10.452
_cell_angle_alpha 68.61
_cell_angle_beta 88.65
_cell_angle_gamma 68.60
_symmetry_space_group_name_H-M 'P -1'
_symmetry_Int_Tables_number 2
loop_
_symmetry_equiv_pos_as_xyz
'x,y,z'
'-x,-y,-z'
loop_
_atom_site_label
_atom_site_type_symbol
_atom_site_fract_x
_atom_site_fract_y
_atom_site_fract_z
Cr1 Cr 0.235 0.077 0.234
P1 P 0.190 0.740 0.971
P2 P 0.195 0.680 0.716
H1 H 0.072 0.268 0.821
H2 H 0.110 0.087 0.803
H3 H 0.161 0.270 0.446
H4 H 0.180 0.281 0.598
H5 H 0.216 0.406 0.107
H6 H 0.233 0.855 0.476
H7 H 0.251 0.753 0.367
H8 H 0.264 0.586 0.250
H9 H 0.302 0.462 0.415
H10 H 0.400 0.874 0.088
H11 H 0.407 0.119 0.821
H12 H 0.413 0.265 0.060
H13 H 0.435 0.095 0.583
H14 H 0.446 0.890 0.652
H15 H 0.447 0.475 0.671
O1 O 0.002 0.094 0.117
O2 O 0.044 0.249 0.311
O3 O 0.144 0.619 0.106
O4 O 0.158 0.189 0.774
O5 O 0.193 0.872 0.377
O6 O 0.247 0.289 0.510
O7 O 0.263 0.617 0.879
O8 O 0.270 0.287 0.097
O9 O 0.286 0.506 0.686
O10 O 0.288 0.814 0.634
O11 O 0.334 0.564 0.343
O12 O 0.372 0.791 0.989
O13 O 0.436 0.920 0.158
O14 O 0.467 0.033 0.360
# Calculated total energy ... -5.92 eV per atom

---

No. 6
# CrP3H2O10 (PBEsol, relaxed)
data_CrP3H2O10
_chemical_formula_sum 'Cr4 P12 H8 O40'
_cell_length_a 7.387
_cell_length_b 8.696
_cell_length_c 12.333
_cell_angle_alpha 90.00
_cell_angle_beta 113.08
_cell_angle_gamma 90.00
_symmetry_space_group_name_H-M 'P 1 21/c 1'
_symmetry_Int_Tables_number 14
loop_
_symmetry_equiv_pos_as_xyz
'x,y,z'
'-x,-y,-z'
'-x,y+1/2,-z+1/2'
'x,-y+1/2,z+1/2'
loop_
_atom_site_label
_atom_site_type_symbol
_atom_site_fract_x
_atom_site_fract_y
_atom_site_fract_z
Cr1 Cr 0.248 0.063 0.207
P1 P 0.140 0.118 0.793
P2 P 0.203 0.618 0.476
P3 P 0.352 0.114 0.635
H1 H 0.221 0.141 0.438
H2 H 0.234 0.682 0.877
O1 O 0.017 0.141 0.077
O2 O 0.079 0.587 0.752
O3 O 0.199 0.214 0.316
O4 O 0.203 0.089 0.507
O5 O 0.224 0.045 0.705
O6 O 0.253 0.032 0.914
O7 O 0.298 0.588 0.606
O8 O 0.313 0.745 0.948
O9 O 0.401 0.219 0.171
O10 O 0.471 0.512 0.839
# Calculated total energy ... -7.36 eV per atom

---

No. 7
# VCrP2H2O10 (PBEsol, relaxed)
data_VCrP2H2O10
_chemical_formula_sum 'V1 Cr1 P2 H2 O10'
_cell_length_a 5.123
_cell_length_b 5.163
_cell_length_c 7.127
_cell_angle_alpha 108.12
_cell_angle_beta 104.55
_cell_angle_gamma 101.55
_symmetry_space_group_name_H-M 'P -1'
_symmetry_Int_Tables_number 2
loop_
_symmetry_equiv_pos_as_xyz
'x,y,z'
'-x,-y,-z'
loop_
_atom_site_label
_atom_site_type_symbol
_atom_site_fract_x
_atom_site_fract_y
_atom_site_fract_z
V1 V 0.000 0.000 0.000
Cr1 Cr 0.000 0.000 0.500
P1 P 0.324 0.675 0.728
H1 H 0.034 0.667 0.186
O1 O 0.050 0.876 0.228
O2 O 0.110 0.684 0.853
O3 O 0.255 0.367 0.577
O4 O 0.308 0.879 0.613
O5 O 0.375 0.234 0.112
# Calculated total energy ... -7.61 eV per atom

---

No. 8
# CrH6SO7 (PBEsol, relaxed)
data_CrH6SO7
_chemical_formula_sum 'Cr4 H24 S4 O28'
_cell_length_a 5.529
_cell_length_b 13.387
_cell_length_c 7.371
_cell_angle_alpha 90.00
_cell_angle_beta 95.04
_cell_angle_gamma 90.00
_symmetry_space_group_name_H-M 'C 1 c 1'
_symmetry_Int_Tables_number 9
loop_
_symmetry_equiv_pos_as_xyz
'x,y,z'
'x,-y,z+1/2'
'x+1/2,y+1/2,z'
'x+1/2,-y+1/2,z+1/2'
loop_
_atom_site_label
_atom_site_type_symbol
_atom_site_fract_x
_atom_site_fract_y
_atom_site_fract_z
Cr1 Cr 0.000 0.136 0.000
H1 H 0.111 0.476 0.511
H2 H 0.126 0.420 0.707
H3 H 0.270 0.300 0.207
H4 H 0.318 0.190 0.773
H5 H 0.425 0.395 0.142
H6 H 0.457 0.158 0.970
S1 S 0.267 0.118 0.422
O1 O 0.084 0.050 0.492
O2 O 0.170 0.166 0.247
O3 O 0.175 0.414 0.578
O4 O 0.304 0.188 0.908
O5 O 0.329 0.200 0.553
O6 O 0.337 0.366 0.244
O7 O 0.488 0.060 0.386
# Calculated total energy ... -5.94 eV per atom

---

No. 9
# CrHSe3O8 (PBEsol, relaxed)
data_CrHSe3O8
_chemical_formula_sum 'Cr4 H4 Se12 O32'
_cell_length_a 7.150
_cell_length_b 12.233
_cell_length_c 10.358
_cell_angle_alpha 90.00
_cell_angle_beta 130.47
_cell_angle_gamma 90.00
_symmetry_space_group_name_H-M 'P 1 21/c 1'
_symmetry_Int_Tables_number 14
loop_
_symmetry_equiv_pos_as_xyz
'x,y,z'
'-x,-y,-z'
'-x,y+1/2,-z+1/2'
'x,-y+1/2,z+1/2'
loop_
_atom_site_label
_atom_site_type_symbol
_atom_site_fract_x
_atom_site_fract_y
_atom_site_fract_z
Cr1 Cr 0.228 0.168 0.363
H1 H 0.270 0.151 0.628
Se1 Se 0.052 0.144 0.005
Se2 Se 0.375 0.652 0.492
Se3 Se 0.389 0.546 0.131
O1 O 0.098 0.198 0.879
O2 O 0.100 0.608 0.310
O3 O 0.215 0.233 0.181
O4 O 0.251 0.096 0.546
O5 O 0.256 0.698 0.600
O6 O 0.340 0.033 0.333
O7 O 0.431 0.718 0.962
O8 O 0.498 0.539 0.329
# Excess energy over the best structure of this formula in the dataset ... 0.037 eV per atom

---

No. 10
# CrHSe3O8 (PBEsol, relaxed)
data_CrHSe3O8
_chemical_formula_sum 'Cr4 H4 Se12 O32'
_cell_length_a 8.833
_cell_length_b 11.300
_cell_length_c 7.444
_cell_angle_alpha 90.00
_cell_angle_beta 90.00
_cell_angle_gamma 90.00
_symmetry_space_group_name_H-M 'P n m a'
_symmetry_Int_Tables_number 62
loop_
_symmetry_equiv_pos_as_xyz
'x,y,z'
'-x,-y,-z'
'-x+1/2,-y,z+1/2'
'x+1/2,y,-z+1/2'
'x+1/2,-y+1/2,-z+1/2'
'-x+1/2,y+1/2,z+1/2'
'-x,y+1/2,-z'
'x,-y+1/2,z'
loop_
_atom_site_label
_atom_site_type_symbol
_atom_site_fract_x
_atom_site_fract_y
_atom_site_fract_z
Cr1 Cr 0.000 0.000 0.000
H1 H 0.122 0.250 0.460
Se1 Se 0.015 0.750 0.811
Se2 Se 0.225 0.606 0.292
O1 O 0.014 0.250 0.426
O2 O 0.098 0.134 0.125
O3 O 0.110 0.031 0.777
O4 O 0.168 0.602 0.073
O5 O 0.181 0.250 0.772
# Excess energy over the best structure of this formula in the dataset ... 0.000 eV per atom

---

No. 11
# SrCrHO2 (PBEsol, relaxed)
data_SrCrHO2
_chemical_formula_sum 'Sr1 Cr1 H1 O2'
_cell_length_a 3.901
_cell_length_b 3.901
_cell_length_c 3.568
_cell_angle_alpha 90.00
_cell_angle_beta 90.00
_cell_angle_gamma 90.00
_symmetry_space_group_name_H-M 'P 4/m m m'
_symmetry_Int_Tables_number 123
_symmetry_space_group_name_Hall '-P 4 2'
loop_
_atom_site_label
_atom_site_type_symbol
_atom_site_fract_x
_atom_site_fract_y
_atom_site_fract_z
Sr1 Sr 0.000 0.000 0.000
Cr1 Cr 0.500 0.500 0.500
H1 H 0.500 0.500 0.000
O1 O 0.000 0.500 0.500
# Calculated total energy ... -6.99 eV per atom

---

No. 12
# Cr2H2Os (PBEsol, relaxed)
data_Cr2H2Os
_chemical_formula_sum 'Cr4 H4 Os2'
_cell_length_a 2.711
_cell_length_b 2.711
_cell_length_c 11.340
_cell_angle_alpha 90.00
_cell_angle_beta 90.00
_cell_angle_gamma 90.00
_symmetry_space_group_name_H-M 'I 4/m m m'
_symmetry_Int_Tables_number 139
_symmetry_space_group_name_Hall '-I 4 2'
loop_
_atom_site_label
_atom_site_type_symbol
_atom_site_fract_x
_atom_site_fract_y
_atom_site_fract_z
Cr1 Cr 0.000 0.000 0.152
H1 H 0.000 0.500 0.250
Os1 Os 0.000 0.000 0.500
# Calculated total energy ... -7.85 eV per atom